# CePm2Te

A relaxed CePm2Te crystal (PBE, the Alexandria database).

Output
Space group ... P4/mmm
Final energy ... -20.6 eV/cell
Raw formation energy ... -0.514 eV per atom
ΔE to the lowest computed polymorph ... 0.0278 eV/atom
Theoretical density ... 8.208 g cm⁻³

Cell: 4.9174 4.9174 4.6661 Å, 90.00 90.00 90.00°
Sites, in units of the cell vectors:
Ce1 0.0000 0.0000 0.0000
Pm1 0.0000 0.5000 0.5000
Pm2 0.5000 0.0000 0.5000
Te1 0.5000 0.5000 0.0000